# 1
A relaxed structure of Ba3Pr2TlTe6, computed with GGA-PBE. Values from VASP.

Results
Space group: No. 12
DFT total energy (eV/f.u.): -54.037
M_tot (μB/f.u.): 0.00

```
&SYSTEM
  ibrav = 0, nat = 12, ntyp = 4
/
ATOMIC_SPECIES
Ba 137.33 Ba.upf
Pr 140.91 Pr.upf
Tl 204.38 Tl.upf
Te 127.60 Te.upf
CELL_PARAMETERS angstrom
10.427 -2.389 0.000
10.427 2.389 0.000
-2.021 0.000 9.500
ATOMIC_POSITIONS angstrom
Ba 0.000 0.000 0.000
Ba 5.765 0.000 6.267
Ba 13.068 0.000 3.232
Pr 6.610 0.000 1.546
Pr 12.222 0.000 7.954
Tl -1.010 0.000 4.750
Te 2.315 0.000 5.801
Te 3.437 0.000 0.712
Te 9.673 0.000 2.331
Te 9.159 0.000 7.169
Te 15.395 0.000 8.788
Te 16.517 0.000 3.699
```

# 2
A relaxed structure of Ba3Pr3TmTe8, computed with GGA-PBE. Values from VASP.

Results
Space group: No. 12
DFT total energy (eV/f.u.): -73.146
M_tot (μB/f.u.): 0.00

```
&SYSTEM
  ibrav = 0, nat = 15, ntyp = 4
/
ATOMIC_SPECIES
Ba 137.33 Ba.upf
Pr 140.91 Pr.upf
Tm 168.93 Tm.upf
Te 127.60 Te.upf
CELL_PARAMETERS angstrom
7.969 -4.603 0.000
7.969 4.603 0.000
-5.308 0.000 8.064
ATOMIC_POSITIONS angstrom
Ba 0.000 0.000 0.000
Ba 3.984 2.301 0.000
Ba 3.984 -2.301 0.000
Pr 1.330 2.301 4.032
Pr 1.330 -2.301 4.032
Pr 5.315 0.000 4.032
Tm -2.654 0.000 4.032
Te -0.077 0.000 5.789
Te 4.026 2.369 5.790
Te 6.603 2.369 2.274
Te 2.658 0.000 2.198
Te 7.972 0.000 5.866
Te 4.026 -2.369 5.790
Te 6.603 -2.369 2.274
Te 10.706 0.000 2.275
```

Q: What is the formula in the second record?
A: Ba3Pr3TmTe8